First-principles (GGA-PBE) data for an optimized crystal structure of VIn2AgSb, as listed in Alexandria.

It has space group P4/mmm (No. 123), with a = 5.259 Å, b = 5.259 Å, c = 5.131 Å, α = 90.00°, β = 90.00° and γ = 90.00°. The inequivalent atoms are V at (0.000, 0.000, 0.000), In at (0.000, 0.500, 0.000), Ag at (0.000, 0.000, 0.500) and Sb at (0.500, 0.500, 0.500).

The electronic total energy is -3.519 eV/atom. The total magnetization is 2.884 μB per formula unit. The uncorrected formation energy comes out at 795 meV/atom. Its mass density is 5.97 g cm⁻³.